Record 1
# AcSbPO

A geometry-optimized AcSbPO structure (PBE-GGA, Alexandria).

```
AcSbPO
1.0
4.942 0.000 0.000
0.000 4.942 0.000
0.000 0.000 7.409
Ac Sb P O
2 2 2 2
Direct
0.250 0.250 0.116
0.750 0.750 0.884
0.250 0.750 0.500
0.750 0.250 0.500
0.250 0.250 0.637
0.750 0.750 0.363
0.250 0.750 0.000
0.750 0.250 0.000
```

Properties
- ΔE_f (raw): -1378.7 meV/atom
- Total magnetic moment: 0.0 μB per formula unit
- Symmetry: P4/nmm

***

Record 2
# AcScP2O8

A geometry-optimized AcScP2O8 structure (PBE-GGA, Alexandria).

```
AcScP2O8
1.0
5.235 0.000 0.000
-2.618 4.534 0.000
0.000 0.000 7.184
Ac Sc P O
1 1 2 8
Direct
0.000 0.000 0.000
0.000 0.000 0.500
0.333 0.667 0.764
0.667 0.333 0.236
0.170 0.344 0.694
0.174 0.830 0.694
0.333 0.667 0.978
0.344 0.174 0.306
0.656 0.826 0.694
0.667 0.333 0.022
0.826 0.170 0.306
0.830 0.656 0.306
```

Properties
- ΔE_f (raw): -2954.1 meV/atom
- Total magnetic moment: 0.0 μB per formula unit
- Symmetry: P-3

***

Record 3
# AcScPO

A geometry-optimized AcScPO structure (PBE-GGA, Alexandria).

```
AcScPO
1.0
4.193 0.000 0.000
-2.096 3.631 0.000
0.000 0.000 11.846
Ac Sc P O
2 2 2 2
Direct
0.333 0.667 0.000
0.667 0.333 0.500
0.000 0.000 0.246
0.000 0.000 0.746
0.333 0.667 0.329
0.667 0.333 0.829
0.000 0.000 0.081
0.000 0.000 0.581
```

Properties
- ΔE_f (raw): -2139.3 meV/atom
- Total magnetic moment: 0.0 μB per formula unit
- Symmetry: P6_3mc

***

Record 4
# AcSiP2O8

A geometry-optimized AcSiP2O8 structure (PBE-GGA, Alexandria).

```
AcSiP2O8
1.0
3.912 -2.512 0.000
3.912 2.512 0.000
-0.865 0.000 7.688
Ac Si P O
1 1 2 8
Direct
0.000 0.000 0.000
0.000 0.000 0.500
0.373 0.373 0.692
0.627 0.627 0.308
0.221 0.221 0.549
0.232 0.738 0.669
0.262 0.768 0.331
0.330 0.330 0.881
0.670 0.670 0.119
0.738 0.232 0.669
0.768 0.262 0.331
0.779 0.779 0.451
```

Properties
- ΔE_f (raw): -2410.2 meV/atom
- Total magnetic moment: 1.0 μB per formula unit
- Symmetry: C2/m

***

Record 5
# Ac2SmPO8

A geometry-optimized Ac2SmPO8 structure (PBE-GGA, Alexandria).

```
Ac2SmPO8
1.0
5.504 0.000 0.000
-2.752 4.766 0.000
0.000 0.000 6.308
Ac Sm P O
2 1 1 8
Direct
0.333 0.667 0.358
0.667 0.333 0.642
0.000 0.000 0.000
0.000 0.000 0.500
0.146 0.292 0.663
0.146 0.854 0.663
0.292 0.146 0.337
0.333 0.667 0.011
0.667 0.333 0.989
0.708 0.854 0.663
0.854 0.146 0.337
0.854 0.708 0.337
```

Properties
- ΔE_f (raw): -2412.0 meV/atom
- Total magnetic moment: 2.1 μB per formula unit
- Symmetry: P-3m1

***

Record 6
# AcSnP2O8

A geometry-optimized AcSnP2O8 structure (PBE-GGA, Alexandria).

```
AcSnP2O8
1.0
5.180 0.000 0.000
-2.590 4.486 0.000
0.000 0.000 7.606
Ac Sn P O
1 1 2 8
Direct
0.000 0.000 0.000
0.000 0.000 0.500
0.333 0.667 0.772
0.667 0.333 0.228
0.106 0.345 0.709
0.239 0.894 0.709
0.333 0.667 0.975
0.345 0.239 0.291
0.655 0.761 0.709
0.667 0.333 0.025
0.761 0.106 0.291
0.894 0.655 0.291
```

Properties
- ΔE_f (raw): -2373.0 meV/atom
- Total magnetic moment: 0.5 μB per formula unit
- Symmetry: P-3

***

Record 7
# AcSnPO

A geometry-optimized AcSnPO structure (PBE-GGA, Alexandria).

```
AcSnPO
1.0
4.729 0.000 0.000
0.000 4.729 0.000
0.000 0.000 8.274
Ac Sn P O
2 2 2 2
Direct
0.250 0.250 0.117
0.750 0.750 0.883
0.250 0.750 0.500
0.750 0.250 0.500
0.250 0.250 0.669
0.750 0.750 0.331
0.250 0.750 0.000
0.750 0.250 0.000
```

Properties
- ΔE_f (raw): -1455.7 meV/atom
- Total magnetic moment: 0.0 μB per formula unit
- Symmetry: P4/nmm

***

Record 8
# Sr2AcPO8

A geometry-optimized Sr2AcPO8 structure (PBE-GGA, Alexandria).

```
Sr2AcPO8
1.0
5.408 0.000 0.000
-2.704 4.684 0.000
0.000 0.000 6.724
Sr Ac P O
2 1 1 8
Direct
0.333 0.667 0.371
0.667 0.333 0.629
0.000 0.000 0.000
0.000 0.000 0.500
0.146 0.292 0.650
0.146 0.854 0.650
0.292 0.146 0.350
0.333 0.667 0.023
0.667 0.333 0.977
0.708 0.854 0.650
0.854 0.146 0.350
0.854 0.708 0.350
```

Properties
- ΔE_f (raw): -1952.5 meV/atom
- Total magnetic moment: 4.0 μB per formula unit
- Symmetry: P-3m1

***

Record 9
# SrAcPO5

A geometry-optimized SrAcPO5 structure (PBE-GGA, Alexandria).

```
SrAcPO5
1.0
3.593 -4.878 0.000
3.593 4.878 0.000
-2.451 0.000 7.851
Sr Ac P O
2 2 2 10
Direct
0.154 0.846 0.750
0.846 0.154 0.250
0.500 0.500 0.000
0.500 0.500 0.500
0.181 0.819 0.250
0.819 0.181 0.750
0.046 0.217 0.891
0.153 0.599 0.331
0.217 0.046 0.391
0.390 0.610 0.750
0.401 0.847 0.169
0.599 0.153 0.831
0.610 0.390 0.250
0.783 0.954 0.609
0.847 0.401 0.669
0.954 0.783 0.109
```

Properties
- ΔE_f (raw): -2879.7 meV/atom
- Total magnetic moment: 0.0 μB per formula unit
- Symmetry: C2/c

***

Record 10
# SrAcPO

A geometry-optimized SrAcPO structure (PBE-GGA, Alexandria).

```
SrAcPO
1.0
4.596 0.000 0.000
0.000 4.596 0.000
0.000 0.000 9.749
Sr Ac P O
2 2 2 2
Direct
0.250 0.750 0.000
0.750 0.250 0.000
0.250 0.250 0.389
0.750 0.750 0.611
0.250 0.250 0.807
0.750 0.750 0.193
0.250 0.750 0.500
0.750 0.250 0.500
```

Properties
- ΔE_f (raw): -1843.4 meV/atom
- Total magnetic moment: 0.0 μB per formula unit
- Symmetry: P4/nmm

***

Record 11
# SrAc2PO8

A geometry-optimized SrAc2PO8 structure (PBE-GGA, Alexandria).

```
SrAc2PO8
1.0
5.417 0.000 0.000
-2.708 4.691 0.000
0.000 0.000 6.939
Sr Ac P O
1 2 1 8
Direct
0.000 0.000 0.000
0.333 0.667 0.347
0.667 0.333 0.653
0.000 0.000 0.500
0.149 0.298 0.644
0.149 0.851 0.644
0.298 0.149 0.356
0.333 0.667 0.024
0.667 0.333 0.976
0.702 0.851 0.644
0.851 0.149 0.356
0.851 0.702 0.356
```

Properties
- ΔE_f (raw): -2238.6 meV/atom
- Total magnetic moment: 3.1 μB per formula unit
- Symmetry: P-3m1

***

Record 12
# SrAcP2O8

A geometry-optimized SrAcP2O8 structure (PBE-GGA, Alexandria).

```
SrAcP2O8
1.0
-3.708 3.708 3.266
3.708 -3.708 3.266
3.708 3.708 -3.266
Sr Ac P O
1 1 2 8
Direct
0.000 0.000 0.000
0.750 0.250 0.500
0.250 0.750 0.500
0.500 0.500 0.000
0.106 0.439 0.333
0.106 0.773 0.667
0.189 0.356 0.833
0.227 0.894 0.333
0.523 0.356 0.167
0.561 0.894 0.667
0.644 0.477 0.833
0.644 0.811 0.167
```

Properties
- ΔE_f (raw): -2703.6 meV/atom
- Total magnetic moment: 1.1 μB per formula unit
- Symmetry: I-4m2

***

Record 13
# AcTbPO6

A geometry-optimized AcTbPO6 structure (PBE-GGA, Alexandria).

```
AcTbPO6
1.0
5.398 0.000 0.000
-2.699 4.675 0.000
0.000 0.000 5.113
Ac Tb P O
1 1 1 6
Direct
0.000 0.000 0.000
0.333 0.667 0.500
0.667 0.333 0.500
0.405 0.072 0.696
0.405 0.333 0.304
0.667 0.072 0.304
0.667 0.595 0.696
0.928 0.333 0.696
0.928 0.595 0.304
```

Properties
- ΔE_f (raw): -2572.5 meV/atom
- Total magnetic moment: 1.0 μB per formula unit
- Symmetry: P312

***

Record 14
# AcTb2PO8

A geometry-optimized AcTb2PO8 structure (PBE-GGA, Alexandria).

```
AcTb2PO8
1.0
5.061 0.000 0.000
-2.530 4.383 0.000
0.000 0.000 6.890
Ac Tb P O
1 2 1 8
Direct
0.000 0.000 0.000
0.333 0.667 0.371
0.667 0.333 0.629
0.000 0.000 0.500
0.157 0.314 0.645
0.157 0.843 0.645
0.314 0.157 0.355
0.333 0.667 0.058
0.667 0.333 0.942
0.686 0.843 0.645
0.843 0.157 0.355
0.843 0.686 0.355
```

Properties
- ΔE_f (raw): -2568.0 meV/atom
- Total magnetic moment: 2.0 μB per formula unit
- Symmetry: P-3m1

***

Record 15
# AcTbP2O8

A geometry-optimized AcTbP2O8 structure (PBE-GGA, Alexandria).

```
AcTbP2O8
1.0
5.325 0.000 0.000
-2.663 4.612 0.000
0.000 0.000 7.477
Ac Tb P O
1 1 2 8
Direct
0.000 0.000 0.000
0.000 0.000 0.500
0.333 0.667 0.781
0.667 0.333 0.219
0.174 0.350 0.711
0.176 0.826 0.711
0.333 0.667 0.987
0.350 0.176 0.289
0.650 0.824 0.711
0.667 0.333 0.013
0.824 0.174 0.289
0.826 0.650 0.289
```

Properties
- ΔE_f (raw): -2976.5 meV/atom
- Total magnetic moment: 0.0 μB per formula unit
- Symmetry: P-3

***

Record 16
# AcTcPO

A geometry-optimized AcTcPO structure (PBE-GGA, Alexandria).

```
AcTcPO
1.0
4.190 0.000 0.000
0.000 4.190 0.000
0.000 0.000 8.769
Ac Tc P O
2 2 2 2
Direct
0.250 0.250 0.148
0.750 0.750 0.852
0.250 0.750 0.500
0.750 0.250 0.500
0.250 0.250 0.625
0.750 0.750 0.375
0.250 0.750 0.000
0.750 0.250 0.000
```

Properties
- ΔE_f (raw): -1891.7 meV/atom
- Total magnetic moment: 0.0 μB per formula unit
- Symmetry: P4/nmm

***

Record 17
# AcTcP2O8

A geometry-optimized AcTcP2O8 structure (PBE-GGA, Alexandria).

```
AcTcP2O8
1.0
4.142 -2.693 0.000
4.142 2.693 0.000
-0.422 0.000 7.425
Ac Tc P O
1 1 2 8
Direct
0.000 0.000 0.000
0.000 0.000 0.500
0.365 0.365 0.718
0.635 0.635 0.282
0.234 0.712 0.710
0.241 0.241 0.558
0.288 0.766 0.290
0.297 0.297 0.908
0.703 0.703 0.092
0.712 0.234 0.710
0.759 0.759 0.442
0.766 0.288 0.290
```

Properties
- ΔE_f (raw): -2324.8 meV/atom
- Total magnetic moment: 2.0 μB per formula unit
- Symmetry: C2/m

***

Record 18
# AcTiPO2

A geometry-optimized AcTiPO2 structure (PBE-GGA, Alexandria).

```
AcTiPO2
1.0
1.907 -6.007 0.000
1.907 6.007 0.000
0.000 0.000 7.222
Ac Ti P O
2 2 2 4
Direct
0.228 0.772 0.750
0.772 0.228 0.250
0.500 0.500 0.000
0.500 0.500 0.500
0.039 0.961 0.250
0.961 0.039 0.750
0.345 0.655 0.047
0.345 0.655 0.453
0.655 0.345 0.547
0.655 0.345 0.953
```

Properties
- ΔE_f (raw): -2520.0 meV/atom
- Total magnetic moment: 0.0 μB per formula unit
- Symmetry: Cmcm

***

Record 19
# AcTlPO6

A geometry-optimized AcTlPO6 structure (PBE-GGA, Alexandria).

```
AcTlPO6
1.0
5.349 0.000 0.000
-2.674 4.632 0.000
0.000 0.000 5.155
Ac Tl P O
1 1 1 6
Direct
0.000 0.000 0.000
0.333 0.667 0.500
0.667 0.333 0.500
0.408 0.071 0.699
0.408 0.336 0.301
0.664 0.071 0.301
0.664 0.592 0.699
0.929 0.336 0.699
0.929 0.592 0.301
```

Properties
- ΔE_f (raw): -1814.3 meV/atom
- Total magnetic moment: 1.1 μB per formula unit
- Symmetry: P312

***

Record 20
# AcTlPO4

A geometry-optimized AcTlPO4 structure (PBE-GGA, Alexandria).

```
AcTlPO4
1.0
0.000 4.523 4.523
4.523 0.000 4.523
4.523 4.523 0.000
Ac Tl P O
1 1 1 4
Direct
0.000 0.000 0.000
0.250 0.250 0.250
0.750 0.750 0.750
0.452 0.849 0.849
0.849 0.452 0.849
0.849 0.849 0.452
0.849 0.849 0.849
```

Properties
- ΔE_f (raw): -2189.3 meV/atom
- Total magnetic moment: 0.9 μB per formula unit
- Symmetry: F-43m